PBE-GGA KBaZn2, optimized geometry; offset from the most stable computed form = 0.0765 eV/atom; E_form = 47 meV per atom
1.0
-1.344 -5.583 0.705
1.358 -2.701 4.932
-4.172 -1.525 3.706
Ba K Zn
1 1 2
direct
0.500 0.500 0.500 Ba
0.000 0.000 0.000 K
0.250 0.250 0.250 Zn
0.750 0.750 0.750 Zn


PBE-GGA La5HoTm, optimized geometry; E_form = 171 meV per atom
1.0
6.082 0.000 1.446
3.041 8.847 0.723
-0.321 0.000 9.217
La Tm Ho
10 2 2
direct
0.137 0.726 0.250 La
0.018 0.370 0.352 La
0.982 0.630 0.648 La
0.758 0.700 0.034 La
0.612 0.370 0.148 La
0.458 0.300 0.534 La
0.388 0.630 0.852 La
0.542 0.700 0.466 La
0.242 0.300 0.966 La
0.863 0.274 0.750 La
0.511 0.979 0.750 Tm
0.489 0.021 0.250 Tm
0.000 0.000 0.500 Ho
0.000 0.000 0.000 Ho


PBE-GGA LaAsAuBrF, optimized geometry; offset from the most stable computed form = 0.1773 eV/atom
1.0
-0.903 3.889 -1.081
1.123 -0.902 -4.183
-13.272 -3.842 -2.736
La Au As Br F
2 2 2 2 2
direct
0.000 0.000 0.958 La
0.000 0.500 0.458 La
0.500 0.500 0.266 Au
0.500 0.000 0.766 Au
0.500 0.000 0.346 As
0.500 0.500 0.846 As
0.000 0.000 0.610 Br
0.000 0.500 0.110 Br
0.500 0.500 0.525 F
0.500 0.000 0.025 F


Copy entry 1 word for word.
PBE-GGA KBaZn2, optimized geometry; offset from the most stable computed form = 0.0765 eV/atom; E_form = 47 meV per atom
1.0
-1.344 -5.583 0.705
1.358 -2.701 4.932
-4.172 -1.525 3.706
Ba K Zn
1 1 2
direct
0.500 0.500 0.500 Ba
0.000 0.000 0.000 K
0.250 0.250 0.250 Zn
0.750 0.750 0.750 Zn